(1)
# Ho2TaH | Alexandria | PBE | optimized geometry
data_Ho2TaH
_chemical_formula_sum 'Ho2 Ta1 H1'
_cell_length_a 9.063
_cell_length_b 9.063
_cell_length_c 9.063
_cell_angle_alpha 20.14
_cell_angle_beta 20.14
_cell_angle_gamma 20.14
_symmetry_space_group_name_H-M 'P 1'
_symmetry_Int_Tables_number 1
loop_
_symmetry_equiv_pos_as_xyz
'x,y,z'
loop_
_atom_site_label
_atom_site_type_symbol
_atom_site_fract_x
_atom_site_fract_y
_atom_site_fract_z
Ho1 Ho 0.111 0.111 0.111
Ho2 Ho 0.889 0.889 0.889
Ta1 Ta 0.000 0.000 0.000
H1 H 0.500 0.500 0.500
# - calculated density (g/cm3) = 11.0
# - electronic total energy (eV/f.u.) = -22.8
# - magnetic moment (μB per atom) = 0.000
# - space-group type = R-3m (166)


(2)
# Ho3Ta5H12 | Alexandria | PBE | optimized geometry
data_Ho3Ta5H12
_chemical_formula_sum 'Ho12 Ta20 H48'
_cell_length_a 10.191
_cell_length_b 10.191
_cell_length_c 10.191
_cell_angle_alpha 109.47
_cell_angle_beta 109.47
_cell_angle_gamma 109.47
_symmetry_space_group_name_H-M 'P 1'
_symmetry_Int_Tables_number 1
loop_
_symmetry_equiv_pos_as_xyz
'x,y,z'
loop_
_atom_site_label
_atom_site_type_symbol
_atom_site_fract_x
_atom_site_fract_y
_atom_site_fract_z
Ho1 Ho 0.125 0.250 0.375
Ho2 Ho 0.125 0.375 0.750
Ho3 Ho 0.250 0.375 0.125
Ho4 Ho 0.250 0.875 0.625
Ho5 Ho 0.375 0.125 0.250
Ho6 Ho 0.375 0.750 0.125
Ho7 Ho 0.625 0.250 0.875
Ho8 Ho 0.625 0.875 0.750
Ho9 Ho 0.750 0.125 0.375
Ho10 Ho 0.750 0.625 0.875
Ho11 Ho 0.875 0.625 0.250
Ho12 Ho 0.875 0.750 0.625
Ta1 Ta 0.000 0.000 0.000
Ta2 Ta 0.000 0.000 0.500
Ta3 Ta 0.000 0.500 0.000
Ta4 Ta 0.000 0.500 0.500
Ta5 Ta 0.125 0.750 0.875
Ta6 Ta 0.125 0.875 0.250
Ta7 Ta 0.250 0.125 0.875
Ta8 Ta 0.250 0.625 0.375
Ta9 Ta 0.375 0.250 0.625
Ta10 Ta 0.375 0.625 0.750
Ta11 Ta 0.500 0.000 0.000
Ta12 Ta 0.500 0.000 0.500
Ta13 Ta 0.500 0.500 0.000
Ta14 Ta 0.500 0.500 0.500
Ta15 Ta 0.625 0.375 0.250
Ta16 Ta 0.625 0.750 0.375
Ta17 Ta 0.750 0.375 0.625
Ta18 Ta 0.750 0.875 0.125
Ta19 Ta 0.875 0.125 0.750
Ta20 Ta 0.875 0.250 0.125
H1 H 0.051 0.214 0.135
H2 H 0.051 0.337 0.916
H3 H 0.079 0.714 0.663
H4 H 0.079 0.865 0.416
H5 H 0.084 0.635 0.421
H6 H 0.084 0.949 0.663
H7 H 0.135 0.051 0.214
H8 H 0.135 0.584 0.921
H9 H 0.163 0.214 0.579
H10 H 0.163 0.449 0.584
H11 H 0.214 0.135 0.051
H12 H 0.214 0.579 0.163
H13 H 0.286 0.337 0.921
H14 H 0.286 0.449 0.365
H15 H 0.337 0.916 0.051
H16 H 0.337 0.921 0.286
H17 H 0.365 0.286 0.449
H18 H 0.365 0.579 0.916
H19 H 0.416 0.079 0.865
H20 H 0.416 0.837 0.551
H21 H 0.421 0.084 0.635
H22 H 0.421 0.837 0.786
H23 H 0.449 0.365 0.286
H24 H 0.449 0.584 0.163
H25 H 0.551 0.416 0.837
H26 H 0.551 0.635 0.714
H27 H 0.579 0.163 0.214
H28 H 0.579 0.916 0.365
H29 H 0.584 0.163 0.449
H30 H 0.584 0.921 0.135
H31 H 0.635 0.421 0.084
H32 H 0.635 0.714 0.551
H33 H 0.663 0.079 0.714
H34 H 0.663 0.084 0.949
H35 H 0.714 0.551 0.635
H36 H 0.714 0.663 0.079
H37 H 0.786 0.421 0.837
H38 H 0.786 0.865 0.949
H39 H 0.837 0.551 0.416
H40 H 0.837 0.786 0.421
H41 H 0.865 0.416 0.079
H42 H 0.865 0.949 0.786
H43 H 0.916 0.051 0.337
H44 H 0.916 0.365 0.579
H45 H 0.921 0.135 0.584
H46 H 0.921 0.286 0.337
H47 H 0.949 0.663 0.084
H48 H 0.949 0.786 0.865
# - calculated density (g/cm3) = 11.5
# - electronic total energy (eV/f.u.) = -118.2
# - magnetic moment (μB per atom) = 0.000
# - space-group type = Ia-3d (230)


(3)
# TbHo2H | Alexandria | PBE | optimized geometry
data_TbHo2H
_chemical_formula_sum 'Tb1 Ho2 H1'
_cell_length_a 3.339
_cell_length_b 3.339
_cell_length_c 8.431
_cell_angle_alpha 90.00
_cell_angle_beta 90.00
_cell_angle_gamma 90.00
_symmetry_space_group_name_H-M 'P 1'
_symmetry_Int_Tables_number 1
loop_
_symmetry_equiv_pos_as_xyz
'x,y,z'
loop_
_atom_site_label
_atom_site_type_symbol
_atom_site_fract_x
_atom_site_fract_y
_atom_site_fract_z
Tb1 Tb 0.000 0.000 0.000
Ho1 Ho 0.500 0.500 0.308
Ho2 Ho 0.500 0.500 0.692
H1 H 0.000 0.000 0.500
# - calculated density (g/cm3) = 8.7
# - magnetic moment (μB per atom) = 0.000
# - energy above the most stable polymorph in this dataset (kcal/mol of atoms) = 7.18
# - space-group type = P4/mmm (123)


(4)
# Tb4Ho2H | Alexandria | PBE | optimized geometry
data_Tb4Ho2H
_chemical_formula_sum 'Tb4 Ho2 H1'
_cell_length_a 9.203
_cell_length_b 9.203
_cell_length_c 9.203
_cell_angle_alpha 149.53
_cell_angle_beta 149.53
_cell_angle_gamma 43.63
_symmetry_space_group_name_H-M 'P 1'
_symmetry_Int_Tables_number 1
loop_
_symmetry_equiv_pos_as_xyz
'x,y,z'
loop_
_atom_site_label
_atom_site_type_symbol
_atom_site_fract_x
_atom_site_fract_y
_atom_site_fract_z
Tb1 Tb 0.000 0.500 0.500
Tb2 Tb 0.150 0.150 0.000
Tb3 Tb 0.500 0.000 0.500
Tb4 Tb 0.850 0.850 0.000
Ho1 Ho 0.353 0.353 0.000
Ho2 Ho 0.647 0.647 0.000
H1 H 0.000 0.000 0.000
# - calculated density (g/cm3) = 8.0
# - electronic total energy (eV/f.u.) = -30.5
# - magnetic moment (μB per atom) = 0.000
# - space-group type = I4/mmm (139)


(5)
# Tb3HoH | Alexandria | PBE | optimized geometry
data_Tb3HoH
_chemical_formula_sum 'Tb3 Ho1 H1'
_cell_length_a 4.995
_cell_length_b 4.995
_cell_length_c 4.995
_cell_angle_alpha 90.00
_cell_angle_beta 90.00
_cell_angle_gamma 90.00
_symmetry_space_group_name_H-M 'P 1'
_symmetry_Int_Tables_number 1
loop_
_symmetry_equiv_pos_as_xyz
'x,y,z'
loop_
_atom_site_label
_atom_site_type_symbol
_atom_site_fract_x
_atom_site_fract_y
_atom_site_fract_z
Tb1 Tb 0.000 0.000 0.500
Tb2 Tb 0.000 0.500 0.000
Tb3 Tb 0.500 0.000 0.000
Ho1 Ho 0.500 0.500 0.500
H1 H 0.000 0.000 0.000
# - calculated density (g/cm3) = 8.6
# - electronic total energy (eV/f.u.) = -22.7
# - magnetic moment (μB per atom) = 0.000
# - space-group type = Pm-3m (221)


(6)
# TbHo2H | Alexandria | PBE | optimized geometry
data_TbHo2H
_chemical_formula_sum 'Tb1 Ho2 H1'
_cell_length_a 8.696
_cell_length_b 8.696
_cell_length_c 8.696
_cell_angle_alpha 23.74
_cell_angle_beta 23.74
_cell_angle_gamma 23.74
_symmetry_space_group_name_H-M 'P 1'
_symmetry_Int_Tables_number 1
loop_
_symmetry_equiv_pos_as_xyz
'x,y,z'
loop_
_atom_site_label
_atom_site_type_symbol
_atom_site_fract_x
_atom_site_fract_y
_atom_site_fract_z
Tb1 Tb 0.000 0.000 0.000
Ho1 Ho 0.221 0.221 0.221
Ho2 Ho 0.779 0.779 0.779
H1 H 0.500 0.500 0.500
# - calculated density (g/cm3) = 8.7
# - magnetic moment (μB per atom) = 0.000
# - energy above the most stable polymorph in this dataset (kcal/mol of atoms) = 0.00
# - space-group type = R-3m (166)